! Ti4GePt (PBE, relaxed); values from VASP
&SYSTEM
  ibrav = 0, nat = 12, ntyp = 3
/
ATOMIC_SPECIES
Ti 47.87 Ti.upf
Ge 72.64 Ge.upf
Pt 195.08 Pt.upf
CELL_PARAMETERS angstrom
6.457 0.000 0.000
0.000 6.894 0.000
-0.009 0.000 5.173
ATOMIC_POSITIONS angstrom
Ti 0.916 0.921 0.002
Ti 0.911 2.526 2.588
Ti 1.608 5.172 1.295
Ti 1.604 5.169 3.882
Ti 4.844 1.725 1.291
Ti 4.839 1.722 3.877
Ti 5.536 4.368 2.585
Ti 5.532 5.973 5.171
Ge -0.004 0.000 2.586
Ge 0.000 3.447 0.000
Pt 3.228 0.000 0.000
Pt 3.224 3.447 2.586
! DFT total energy ... -0.266 hartree per atom
! SG ... P2_1/c
! Energy of formation ... -0.196 eV per atom


! Cs9Au3ClO2 (PBE, relaxed); values from VASP
&SYSTEM
  ibrav = 0, nat = 15, ntyp = 4
/
ATOMIC_SPECIES
Cs 132.91 Cs.upf
Au 196.97 Au.upf
Cl 35.45 Cl.upf
O 16.00 O.upf
CELL_PARAMETERS angstrom
8.384 0.000 0.000
-4.192 7.261 0.000
0.000 0.000 11.674
ATOMIC_POSITIONS angstrom
Cs -2.096 3.630 0.000
Cs 0.000 2.438 3.311
Cs -2.080 6.042 3.311
Cs 2.112 1.219 8.364
Cs 4.192 0.000 0.000
Cs 2.096 3.630 0.000
Cs 2.080 6.042 3.311
Cs 6.272 1.219 8.364
Cs 4.192 4.822 8.364
Au 0.000 0.000 0.000
Au 0.000 4.840 8.705
Au 4.192 2.420 2.969
Cl 0.000 0.000 5.837
O 0.000 4.840 1.975
O 4.192 2.420 9.699
! DFT total energy ... -0.100 hartree per atom
! SG ... P-3m1
! Formation energy from raw total energies ... -766 meV/atom


! Pr8Tl2Ir (PBE, relaxed); values from VASP
&SYSTEM
  ibrav = 0, nat = 11, ntyp = 3
/
ATOMIC_SPECIES
Pr 140.91 Pr.upf
Tl 204.38 Tl.upf
Ir 192.22 Ir.upf
CELL_PARAMETERS angstrom
9.831 -2.640 0.000
9.831 2.640 0.000
-2.008 0.000 6.755
ATOMIC_POSITIONS angstrom
Pr -0.250 0.000 1.936
Pr 2.525 0.000 5.489
Pr 5.883 0.000 3.511
Pr 7.976 0.000 0.380
Pr 9.677 0.000 6.375
Pr 11.770 0.000 3.244
Pr 15.128 0.000 1.266
Pr 17.903 0.000 4.818
Tl 3.051 0.000 1.627
Tl 14.602 0.000 5.128
Ir 8.826 0.000 3.377
! Excess energy over the best structure of this formula in the dataset ... 0.0 meV per atom
! DFT total energy ... -0.183 hartree per atom
! SG ... C2/m
! Energy of formation ... -0.260 eV per atom


! Li2ZnCo (PBE, relaxed); values from VASP
&SYSTEM
  ibrav = 0, nat = 4, ntyp = 3
/
ATOMIC_SPECIES
Li 6.94 Li.upf
Zn 65.41 Zn.upf
Co 58.93 Co.upf
CELL_PARAMETERS angstrom
1.289 0.744 9.050
-1.289 0.744 9.050
0.000 -1.488 9.050
ATOMIC_POSITIONS angstrom
Li 0.000 0.000 6.663
Li 0.000 0.000 20.486
Zn 0.000 0.000 0.000
Co 0.000 0.000 13.575
! DFT total energy ... -0.111 hartree per atom
! SG ... R-3m
! Energy of formation ... 0.019 eV per atom


! ZrZn (PBE, relaxed); values from VASP
&SYSTEM
  ibrav = 0, nat = 8, ntyp = 2
/
ATOMIC_SPECIES
Zr 91.22 Zr.upf
Zn 65.41 Zn.upf
CELL_PARAMETERS angstrom
6.142 0.000 0.000
0.000 4.267 0.000
-2.049 0.000 5.812
ATOMIC_POSITIONS angstrom
Zr 0.000 0.000 0.000
Zr -0.628 0.000 3.031
Zr 2.613 0.000 1.723
Zr 2.922 2.134 3.889
Zn 0.847 2.134 1.795
Zn -0.118 2.134 5.120
Zn 1.408 0.000 4.879
Zn 4.434 2.134 1.121
! DFT total energy ... -0.187 hartree per atom
! SG ... Pm
! Energy of formation ... -0.170 eV per atom


! Li2Bi2I (PBE, relaxed); values from VASP
&SYSTEM
  ibrav = 0, nat = 5, ntyp = 3
/
ATOMIC_SPECIES
Li 6.94 Li.upf
Bi 208.98 Bi.upf
I 126.90 I.upf
CELL_PARAMETERS angstrom
-2.686 2.686 5.263
2.686 -2.686 5.263
2.686 2.686 -5.263
ATOMIC_POSITIONS angstrom
Li 2.686 0.000 2.632
Li 0.000 2.686 2.632
Bi 0.000 0.000 1.457
Bi 0.000 0.000 9.070
I 0.000 0.000 5.263
! Excess energy over the best structure of this formula in the dataset ... 229.9 meV per atom
! DFT total energy ... -0.099 hartree per atom
! SG ... I4/mmm
! Formation energy from raw total energies ... -72 meV/atom


! Cs2KSe (PBE, relaxed); values from VASP
&SYSTEM
  ibrav = 0, nat = 4, ntyp = 3
/
ATOMIC_SPECIES
Cs 132.91 Cs.upf
K 39.10 K.upf
Se 78.96 Se.upf
CELL_PARAMETERS angstrom
2.645 1.527 13.359
-2.645 1.527 13.359
0.000 -3.055 13.359
ATOMIC_POSITIONS angstrom
Cs 0.000 0.000 5.004
Cs 0.000 0.000 35.073
K 0.000 0.000 0.000
Se 0.000 0.000 20.039
! Excess energy over the best structure of this formula in the dataset ... 46.5 meV per atom
! DFT total energy ... -0.082 hartree per atom
! SG ... R-3m
! Formation energy from raw total energies ... -651 meV/atom


! Li2YGeCl (PBE, relaxed); values from VASP
&SYSTEM
  ibrav = 0, nat = 5, ntyp = 4
/
ATOMIC_SPECIES
Li 6.94 Li.upf
Y 88.91 Y.upf
Ge 72.64 Ge.upf
Cl 35.45 Cl.upf
CELL_PARAMETERS angstrom
5.930 0.000 0.000
0.000 5.930 0.000
0.000 0.000 4.952
ATOMIC_POSITIONS angstrom
Li 0.000 2.965 0.000
Li 2.965 0.000 0.000
Y 0.000 0.000 0.000
Ge 2.965 2.965 2.476
Cl 0.000 0.000 2.476
! DFT total energy ... -0.109 hartree per atom
! SG ... P4/mmm
! Formation energy from raw total energies ... 389 meV/atom


! Y3PbO (PBE, relaxed); values from VASP
&SYSTEM
  ibrav = 0, nat = 10, ntyp = 3
/
ATOMIC_SPECIES
Y 88.91 Y.upf
Pb 207.20 Pb.upf
O 16.00 O.upf
CELL_PARAMETERS angstrom
-3.324 3.324 6.151
3.324 -3.324 6.151
3.324 3.324 -6.151
ATOMIC_POSITIONS angstrom
Y 0.000 0.000 1.562
Y 3.324 1.653 1.495
Y 1.653 3.324 -1.495
Y 1.671 0.000 4.656
Y 0.000 1.671 7.646
Y 0.000 0.000 10.740
Pb 0.000 3.324 1.401
Pb 0.000 3.324 4.750
O 3.324 0.000 3.076
O 0.000 0.000 6.151
! DFT total energy ... -0.245 hartree per atom
! SG ... I-4m2
! Formation energy from raw total energies ... -1062 meV/atom


! Sr5Si2Sb (PBE, relaxed); values from VASP
&SYSTEM
  ibrav = 0, nat = 16, ntyp = 3
/
ATOMIC_SPECIES
Sr 87.62 Sr.upf
Si 28.09 Si.upf
Sb 121.76 Sb.upf
CELL_PARAMETERS angstrom
-4.137 4.137 7.833
4.137 -4.137 7.833
4.137 4.137 -7.833
ATOMIC_POSITIONS angstrom
Sr 0.000 0.000 0.000
Sr 5.563 1.427 -2.185
Sr 1.427 2.710 -2.185
Sr 5.563 1.427 2.185
Sr 1.427 2.710 2.185
Sr 0.000 0.000 7.833
Sr 2.710 1.427 5.648
Sr -1.427 2.710 5.648
Sr 2.710 1.427 10.018
Sr -1.427 2.710 10.018
Si 3.231 0.905 0.000
Si 3.231 -0.905 7.833
Si 0.905 5.042 0.000
Si 0.905 3.231 7.833
Sb 0.000 0.000 3.916
Sb 0.000 0.000 11.749
! DFT total energy ... -0.130 hartree per atom
! SG ... I4/mcm
! Formation energy from raw total energies ... -622 meV/atom


! Sr2AsW (PBE, relaxed); values from VASP
&SYSTEM
  ibrav = 0, nat = 4, ntyp = 3
/
ATOMIC_SPECIES
Sr 87.62 Sr.upf
As 74.92 As.upf
W 183.84 W.upf
CELL_PARAMETERS angstrom
0.000 3.693 3.693
3.693 0.000 3.693
3.693 3.693 0.000
ATOMIC_POSITIONS angstrom
Sr 0.000 0.000 0.000
Sr 1.847 1.847 1.847
As 5.540 5.540 5.540
W 3.693 3.693 3.693
! DFT total energy ... -0.163 hartree per atom
! SG ... F-43m
! Energy of formation ... 0.799 eV per atom


! BeGaAsPb2 (PBE, relaxed); values from VASP
&SYSTEM
  ibrav = 0, nat = 5, ntyp = 4
/
ATOMIC_SPECIES
Be 9.01 Be.upf
Ga 69.72 Ga.upf
As 74.92 As.upf
Pb 207.20 Pb.upf
CELL_PARAMETERS angstrom
5.543 0.000 0.000
0.000 5.543 0.000
0.000 0.000 4.077
ATOMIC_POSITIONS angstrom
Be 0.000 0.000 0.000
Ga 2.771 2.771 2.038
As 0.000 0.000 2.038
Pb 0.000 2.771 0.000
Pb 2.771 0.000 0.000
! DFT total energy ... -0.126 hartree per atom
! SG ... P4/mmm
! Energy of formation ... 0.345 eV per atom


! LaMg2Se (PBE, relaxed); values from VASP
&SYSTEM
  ibrav = 0, nat = 4, ntyp = 3
/
ATOMIC_SPECIES
La 138.91 La.upf
Mg 24.30 Mg.upf
Se 78.96 Se.upf
CELL_PARAMETERS angstrom
4.328 0.000 0.000
0.000 4.328 0.000
0.000 0.000 5.594
ATOMIC_POSITIONS angstrom
La 0.000 0.000 0.000
Mg 0.000 2.164 2.797
Mg 2.164 0.000 2.797
Se 2.164 2.164 0.000
! DFT total energy ... -0.131 hartree per atom
! SG ... P4/mmm
! Formation energy from raw total energies ... -657 meV/atom


! Pm3Si2Te3 (PBE, relaxed); values from VASP
&SYSTEM
  ibrav = 0, nat = 16, ntyp = 3
/
ATOMIC_SPECIES
Pm 145.00 Pm.upf
Si 28.09 Si.upf
Te 127.60 Te.upf
CELL_PARAMETERS angstrom
9.173 0.000 0.000
-4.586 7.944 0.000
0.000 0.000 6.017
ATOMIC_POSITIONS angstrom
Pm -1.791 3.101 1.504
Pm -2.796 4.842 4.513
Pm 3.581 0.000 1.504
Pm 1.791 3.101 4.513
Pm 5.592 0.000 4.513
Pm 2.796 4.842 1.504
Si 0.000 5.296 0.000
Si 0.000 5.296 3.009
Si 4.586 2.648 0.000
Si 4.586 2.648 3.009
Te -1.215 2.104 4.513
Te -3.371 5.839 1.504
Te 2.430 0.000 4.513
Te 1.215 2.104 1.504
Te 6.743 0.000 1.504
Te 3.371 5.839 4.513
! DFT total energy ... -0.188 hartree per atom
! SG ... P6_3/mcm
! Formation energy from raw total energies ... -789 meV/atom


! Th5AsC4 (PBE, relaxed); values from VASP
&SYSTEM
  ibrav = 0, nat = 10, ntyp = 3
/
ATOMIC_SPECIES
Th 232.04 Th.upf
As 74.92 As.upf
C 12.01 C.upf
CELL_PARAMETERS angstrom
6.416 -1.933 0.000
6.416 1.933 0.000
-4.794 0.000 8.494
ATOMIC_POSITIONS angstrom
Th 0.000 0.000 0.000
Th -1.266 0.000 6.958
Th 2.033 0.000 5.317
Th 6.005 0.000 3.177
Th 9.304 0.000 1.536
As -2.397 0.000 4.247
C 1.046 0.000 2.380
C 4.622 0.000 0.837
C 3.416 0.000 7.656
C 6.993 0.000 6.113
! DFT total energy ... -0.306 hartree per atom
! SG ... C2/m
! Energy of formation ... -0.457 eV per atom


! ScAlGaNi (PBE, relaxed); values from VASP
&SYSTEM
  ibrav = 0, nat = 4, ntyp = 4
/
ATOMIC_SPECIES
Sc 44.96 Sc.upf
Al 26.98 Al.upf
Ga 69.72 Ga.upf
Ni 58.69 Ni.upf
CELL_PARAMETERS angstrom
0.000 3.129 3.129
3.129 0.000 3.129
3.129 3.129 0.000
ATOMIC_POSITIONS angstrom
Sc 0.000 0.000 0.000
Al 3.129 3.129 3.129
Ga 1.564 1.564 1.564
Ni 4.693 4.693 4.693
! DFT total energy ... -0.191 hartree per atom
! SG ... F-43m
! Energy of formation ... -0.480 eV per atom


! HoNiAs (PBE, relaxed); values from VASP
&SYSTEM
  ibrav = 0, nat = 6, ntyp = 3
/
ATOMIC_SPECIES
Ho 164.93 Ho.upf
Ni 58.69 Ni.upf
As 74.92 As.upf
CELL_PARAMETERS angstrom
4.047 0.000 0.000
-2.023 3.505 0.000
0.000 0.000 7.685
ATOMIC_POSITIONS angstrom
Ho 0.000 0.000 0.000
Ho 0.000 0.000 3.843
Ni 0.000 2.336 1.921
Ni 2.023 1.168 5.764
As 0.000 2.336 5.764
As 2.023 1.168 1.921
! DFT total energy ... -0.222 hartree per atom
! SG ... P6_3/mmc
! Energy of formation ... -1.049 eV per atom


! RbBa2IrO5 (PBE, relaxed); values from VASP
&SYSTEM
  ibrav = 0, nat = 9, ntyp = 4
/
ATOMIC_SPECIES
Rb 85.47 Rb.upf
Ba 137.33 Ba.upf
Ir 192.22 Ir.upf
O 16.00 O.upf
CELL_PARAMETERS angstrom
-1.980 3.286 6.103
1.980 -3.286 6.103
1.980 3.286 -6.103
ATOMIC_POSITIONS angstrom
Rb 0.000 0.000 0.000
Ba 1.980 0.000 3.377
Ba 0.000 3.286 2.725
Ir 0.000 0.000 6.103
O 1.980 1.898 -1.488
O 1.980 1.898 1.488
O 0.000 3.286 0.000
O 0.000 1.388 4.614
O 0.000 1.388 7.591
! DFT total energy ... -0.220 hartree per atom
! SG ... Immm
! Formation energy from raw total energies ... -1717 meV/atom


! CePm3Bi3 (PBE, relaxed); values from VASP
&SYSTEM
  ibrav = 0, nat = 14, ntyp = 3
/
ATOMIC_SPECIES
Ce 140.12 Ce.upf
Pm 145.00 Pm.upf
Bi 208.98 Bi.upf
CELL_PARAMETERS angstrom
9.402 0.000 0.000
-4.701 8.142 0.000
0.000 0.000 5.985
ATOMIC_POSITIONS angstrom
Ce 0.000 5.428 1.496
Ce 4.701 2.714 4.488
Pm -1.031 2.044 1.496
Pm -2.415 8.013 1.496
Pm 1.255 1.915 4.488
Pm 3.446 6.228 1.496
Pm 7.116 0.129 4.488
Pm 5.732 6.098 4.488
Bi -1.445 3.515 4.488
Bi -0.934 7.636 4.488
Bi 2.322 3.009 1.496
Bi 2.379 5.133 4.488
Bi 5.635 0.506 1.496
Bi 6.146 4.627 1.496
! DFT total energy ... -0.189 hartree per atom
! SG ... P6_3/m
! Energy of formation ... -0.601 eV per atom


! TlSi2Mo2 (PBE, relaxed); values from VASP
&SYSTEM
  ibrav = 0, nat = 10, ntyp = 3
/
ATOMIC_SPECIES
Tl 204.38 Tl.upf
Si 28.09 Si.upf
Mo 95.94 Mo.upf
CELL_PARAMETERS angstrom
7.184 0.000 0.000
0.000 7.184 0.000
0.000 0.000 3.155
ATOMIC_POSITIONS angstrom
Tl 0.000 0.000 0.000
Tl 3.592 3.592 0.000
Si 0.921 2.671 0.000
Si 2.671 6.263 0.000
Si 4.512 0.921 0.000
Si 6.263 4.512 0.000
Mo 1.130 4.722 1.577
Mo 2.462 1.130 1.577
Mo 4.722 6.054 1.577
Mo 6.054 2.462 1.577
! Excess energy over the best structure of this formula in the dataset ... 139.8 meV per atom
! DFT total energy ... -0.248 hartree per atom
! SG ... P4/mbm
! Formation energy from raw total energies ... 233 meV/atom